No. 1
Density functional theory data (PBE) for crystalline Zr2TcBPb at its relaxed geometry.

```
data_Zr2TcBPb
_cell_length_a 4.719
_cell_length_b 4.719
_cell_length_c 4.157
_cell_angle_alpha 90.00
_cell_angle_beta 90.00
_cell_angle_gamma 90.00
_symmetry_space_group_name_H-M 'P 4/m m m'
_symmetry_Int_Tables_number 123
_symmetry_space_group_name_Hall '-P 4 2'
loop_
_atom_site_label
_atom_site_type_symbol
_atom_site_fract_x
_atom_site_fract_y
_atom_site_fract_z
_atom_site_occupancy
Zr1 Zr 0.000 0.500 0.000 1
Tc1 Tc 0.000 0.000 0.500 1
B1 B 0.000 0.000 0.000 1
Pb1 Pb 0.500 0.500 0.500 1
```

## Properties
The calculated volume comes out at 18.52 A^3/atom. The energy of formation from the pure elements comes out at -215.0 meV per atom. For the total energy, the calculation gives -38.923 eV per cell.



No. 2
Density functional theory data (PBE) for crystalline Sb6PdRh at its relaxed geometry.

```
data_Sb6PdRh
_cell_length_a 13.340
_cell_length_b 9.458
_cell_length_c 9.466
_cell_angle_alpha 90.00
_cell_angle_beta 134.75
_cell_angle_gamma 90.00
_symmetry_space_group_name_H-M 'C 1 2/m 1'
_symmetry_Int_Tables_number 12
_symmetry_space_group_name_Hall '-C 2y'
loop_
_atom_site_label
_atom_site_type_symbol
_atom_site_fract_x
_atom_site_fract_y
_atom_site_fract_z
_atom_site_occupancy
Sb1 Sb 0.003 0.155 0.346 1
Sb2 Sb 0.153 0.500 0.808 1
Sb3 Sb 0.155 0.342 0.159 1
Sb4 Sb 0.162 0.500 0.507 1
Pd1 Pd 0.250 0.250 0.000 1
Rh1 Rh 0.250 0.250 0.500 1
```

## Properties
The calculated volume comes out at 26.51 A^3/atom. For the total energy, the calculation gives -159.196 eV per cell. The formation energy (no corrections) comes out at -0.315 eV/atom.



No. 3
Density functional theory data (PBE) for crystalline Pr8NiHg2 at its relaxed geometry.

```
data_Pr8NiHg2
_cell_length_a 18.536
_cell_length_b 5.284
_cell_length_c 7.085
_cell_angle_alpha 90.00
_cell_angle_beta 100.80
_cell_angle_gamma 90.00
_symmetry_space_group_name_H-M 'C 1 2/m 1'
_symmetry_Int_Tables_number 12
_symmetry_space_group_name_Hall '-C 2y'
loop_
_atom_site_label
_atom_site_type_symbol
_atom_site_fract_x
_atom_site_fract_y
_atom_site_fract_z
_atom_site_occupancy
Pr1 Pr 0.019 0.000 0.276 1
Pr2 Pr 0.089 0.500 0.949 1
Pr3 Pr 0.149 0.500 0.470 1
Pr4 Pr 0.204 0.000 0.812 1
Ni1 Ni 0.000 0.500 0.500 1
Hg1 Hg 0.190 0.000 0.246 1
```

## Properties
The calculated volume comes out at 30.98 A^3/atom. The energy of formation from the pure elements comes out at -181.6 meV per atom. For the total energy, the calculation gives -93.236 eV per cell. Its distance to the lowest polymorph of the same formula is 0.0 kJ per mole of atoms.